## w
Entry from the Alexandria database: a PBEsol-optimized structure of W2Br (meta-GGA SCAN).

Output
Crystal system = trigonal
Density = 15.14 g/cm³
Space-group type = P-3m1, No. 164
Calculated volume = 49.1 Å³/cell

abc: 2.924 2.924 6.631
angles: 90.00 90.00 120.00
Element x y z (fractional)
W1 0.333 0.667 0.332
W2 0.667 0.333 0.668
Br1 0.000 0.000 0.000



## x
Entry from the Alexandria database: a PBEsol-optimized structure of W2Br (meta-GGA SCAN).

Output
Crystal system = hexagonal
Density = 15.07 g/cm³
Space-group type = P6_3/mmc, No. 194
Calculated volume = 98.7 Å³/cell

abc: 4.619 4.619 5.340
angles: 90.00 90.00 120.00
Element x y z (fractional)
W1 0.000 0.000 0.000
W2 0.000 0.000 0.500
W3 0.333 0.667 0.250
W4 0.667 0.333 0.750
Br1 0.333 0.667 0.750
Br2 0.667 0.333 0.250



From most stable to least stable, the computed energies give w, x.